No. 1
YFe2B2: PBEsol geometry, meta-GGA SCAN.

```
YFe2B2
1.0
3.7264 0.0000 0.0000
0.0000 3.7264 0.0000
-1.8632 -1.8632 4.1963
Y B Fe
1 2 2
Direct
0.0000 0.0000 0.0000
0.2500 0.7500 0.5000
0.7500 0.2500 0.5000
0.3334 0.3334 0.6667
0.6666 0.6666 0.3333
```

* energy relative to the elements: -0.0762 eV per atom

No. 2
YFe2B2: PBEsol geometry, meta-GGA SCAN.

```
YFe2B2
1.0
3.5626 0.0000 0.0000
0.0000 3.5626 0.0000
-1.7813 -1.7813 4.6400
Y B Fe
1 2 2
Direct
0.0000 0.0000 0.0000
0.3438 0.3438 0.6875
0.6562 0.6562 0.3125
0.2500 0.7500 0.5000
0.7500 0.2500 0.5000
```

* energy relative to the elements: -0.4061 eV per atom

No. 3
YFeB4: PBEsol geometry, meta-GGA SCAN.

```
YFeB4
1.0
-3.1749 -0.3407 -0.9269
-0.6470 -4.3853 3.8280
-3.1250 7.4229 7.9754
Y Fe B
4 4 16
Direct
0.5000 0.3733 0.1503
0.5000 0.6267 0.8497
0.5000 0.1267 0.6503
0.5000 0.8733 0.3497
0.5000 0.3679 0.4120
0.5000 0.6321 0.5880
0.5000 0.1321 0.9120
0.5000 0.8679 0.0880
0.0000 0.1113 0.0459
0.0000 0.8887 0.9541
0.0000 0.3887 0.5459
0.0000 0.6113 0.4541
0.0000 0.1392 0.4680
0.0000 0.8608 0.5320
0.0000 0.3608 0.9680
0.0000 0.6392 0.0320
0.0000 0.0243 0.1903
0.0000 0.9757 0.8097
0.0000 0.4757 0.6903
0.0000 0.5243 0.3097
0.0000 0.2184 0.3165
0.0000 0.7816 0.6835
0.0000 0.2816 0.8165
0.0000 0.7184 0.1835
```

* energy relative to the elements: -0.6231 eV per atom

Number 1: calculated density 6.333 g cm⁻³. Number 2: calculated density 6.266 g cm⁻³. Number 3: calculated density 5.657 g cm⁻³.